Density functional theory data (PBE) for PmVS after structural relaxation.

Summary:
* formation energy from raw total energies: -925 meV per atom
* Fermi-level density of states: 0.505 states/eV/atom
* magnetization: 0.00 μB/cell

Cell: 7.7632 7.7632 7.7632 Å, 151.15 151.15 41.26°
Fractional positions:
Pm 0.1670 0.1670 0.0000
Pm 0.8330 0.8330 0.0000
V 0.0000 0.5000 0.5000
V 0.5000 0.0000 0.5000
S 0.3895 0.3895 0.0000
S 0.6105 0.6105 0.0000